Record 1
## SrCa2 (GGA-PBEsol)

Data for crystalline SrCa2 at its relaxed geometry.

Summary:
**Space-group type**: I4/mmm (139)
**Formation energy from the elements**: 0.30 kcal/mol of atoms

a b c (Å): 3.9745 3.9745 8.8183
angles (deg): 103.02 103.02 90.00
Fractional coordinates of all 3 atoms:
Sr 0.0000 0.0000 0.0000
Ca 0.3281 0.3281 0.6563
Ca 0.6719 0.6719 0.3437


Record 2
## La2ReSe (GGA-PBEsol)

Data for crystalline La2ReSe at its relaxed geometry.

Summary:
**Space-group type**: P4/mmm (123)
**ΔE_f (raw)**: -1.9 eV/f.u.

a b c (Å): 3.5291 3.5291 7.6189
angles (deg): 90.00 90.00 90.00
Fractional coordinates of all 4 atoms:
La 0.0000 0.0000 0.7616
La 0.0000 0.0000 0.2384
Re 0.5000 0.5000 0.0000
Se 0.5000 0.5000 0.5000


Record 3
## VCrO5 (GGA-PBEsol)

Data for crystalline VCrO5 at its relaxed geometry.

Summary:
**Space-group type**: Pnma (62)
**ΔE_f (raw)**: -13.8 eV/f.u.

a b c (Å): 6.4295 7.4333 7.8288
angles (deg): 90.00 90.00 90.00
Fractional coordinates of all 28 atoms:
V 0.7500 0.8312 0.7399
V 0.2500 0.6688 0.2399
V 0.7500 0.3312 0.7601
V 0.2500 0.1688 0.2601
Cr 0.2500 0.8818 0.6111
Cr 0.7500 0.6182 0.1111
Cr 0.2500 0.3818 0.8889
Cr 0.7500 0.1182 0.3889
O 0.7500 0.9340 0.5051
O 0.2500 0.8799 0.1881
O 0.4633 0.8753 0.7344
O 0.0367 0.8753 0.7344
O 0.7500 0.7919 0.9778
O 0.2500 0.7081 0.4778
O 0.9633 0.6247 0.2344
O 0.5367 0.6247 0.2344
O 0.7500 0.6201 0.6881
O 0.2500 0.5660 0.0051
O 0.7500 0.4340 0.9949
O 0.2500 0.3799 0.3119
O 0.4633 0.3753 0.7656
O 0.0367 0.3753 0.7656
O 0.7500 0.2919 0.5222
O 0.2500 0.2081 0.0222
O 0.9633 0.1247 0.2656
O 0.5367 0.1247 0.2656
O 0.7500 0.1201 0.8119
O 0.2500 0.0660 0.4949


Record 4
## Zr2AlZnW (GGA-PBEsol)

Data for crystalline Zr2AlZnW at its relaxed geometry.

Summary:
**Space-group type**: P4/mmm (123)
**Formation energy from the elements**: 19.77 kcal/mol of atoms

a b c (Å): 4.8762 4.9723 4.9723
angles (deg): 90.00 90.00 90.00
Fractional coordinates of all 5 atoms:
Zn 0.5000 0.5000 0.5000
Zr 0.0000 0.0000 0.5000
Zr 0.0000 0.5000 0.0000
W 0.0000 0.0000 0.0000
Al 0.5000 0.0000 0.0000


Record 5
## YSbBr (GGA-PBEsol)

Data for crystalline YSbBr at its relaxed geometry.

Summary:
**Space-group type**: P3m1 (156)
**ΔE_f (raw)**: -3.0 eV/f.u.

a b c (Å): 3.7915 3.7915 7.2636
angles (deg): 90.00 90.00 120.00
Fractional coordinates of all 3 atoms:
Y 0.3333 0.6667 0.3172
Sb 0.6667 0.3333 0.6159
Br 0.0000 0.0000 0.0669


Record 6
## BaCd2Ag2 (GGA-PBEsol)

Data for crystalline BaCd2Ag2 at its relaxed geometry.

Summary:
**Space-group type**: I4/mmm (139)
**Formation energy from the elements**: -4.92 kcal/mol of atoms

a b c (Å): 4.5468 4.5468 6.9076
angles (deg): 109.21 109.21 90.00
Fractional coordinates of all 5 atoms:
Ba 0.0000 0.0000 0.0000
Ag 0.3876 0.3876 0.7753
Ag 0.6124 0.6124 0.2247
Cd 0.2500 0.7500 0.5000
Cd 0.7500 0.2500 0.5000


Record 7
## Ba2MnTlCd (GGA-PBEsol)

Data for crystalline Ba2MnTlCd at its relaxed geometry.

Summary:
**Space-group type**: P4/mmm (123)
**Formation energy from the elements**: 9.89 kcal/mol of atoms

a b c (Å): 4.9816 6.3983 6.3983
angles (deg): 90.00 90.00 90.00
Site moments in Bohr magnetons follow the coordinates.
Fractional coordinates of all 5 atoms:
Tl 0.5000 0.5000 0.5000  -0.06
Mn 0.5000 0.0000 0.0000  3.98
Ba 0.0000 0.0000 0.5000  -0.06
Ba 0.0000 0.5000 0.0000  -0.06
Cd 0.0000 0.0000 0.0000  -0.03


Record 8
## TlPb (GGA-PBEsol)

Data for crystalline TlPb at its relaxed geometry.

Summary:
**Space-group type**: Pmma (51)
**Formation energy from the elements**: 0.25 kcal/mol of atoms

a b c (Å): 3.3770 5.6681 6.0296
angles (deg): 90.00 90.00 90.00
Fractional coordinates of all 4 atoms:
Pb 0.0000 0.2500 0.3468
Pb 0.0000 0.7500 0.6532
Tl 0.5000 0.2500 0.8428
Tl 0.5000 0.7500 0.1572


What total energy values result from the calculations? In sequence: -2.0227; -7.4428; -8.5558; -6.6747; -5.4088; -2.4465; -3.1484; -3.3036 eV per atom.
What total moment values result from the calculations? In sequence: 0.002; 0.001; 0.009; 0.000; 0.000; 0.000; 3.695; 0.000 μB per cell.